Record 1
VASP calculation (PBE) on an optimized crystal structure of Pr6In2Pt.

Structure (POSCAR):
```
Pr6In2Pt
1.0
-3.8584 3.4740 0.6463
-6.8773 -7.7119 0.3954
1.2161 -0.5589 10.2502
Pr Pt In
12 2 4
Cartesian
-1.5290 -2.6277 4.9944 Pr
0.0673 -0.2975 2.0001 Pr
-2.0754 -0.3014 10.3982 Pr
-9.5870 -4.4993 9.2919 Pr
-7.4443 -4.4954 0.8938 Pr
-1.9648 0.5181 6.6537 Pr
-6.3780 0.4309 1.9596 Pr
-4.3552 -2.3177 7.6267 Pr
-7.5549 -5.3149 4.6383 Pr
-3.1417 -5.2277 9.3324 Pr
-5.1645 -2.4791 3.6653 Pr
-7.9907 -2.1691 6.2976 Pr
0.6080 -0.2794 5.1251 Pt
-5.3679 -2.1190 0.5209 Pt
-1.0459 -2.6944 8.2327 In
-6.5148 -4.7672 7.8945 In
-3.0049 -0.0296 3.3975 In
-8.4739 -2.1024 3.0593 In
```

## Properties
* total magnetic moment: 0.045 μB per cell
* final energy: -4.885 eV/atom
* calculated volume: 31.1 A^3/atom
* ΔE to the lowest computed polymorph: 66 meV per atom
* D(E_F): 1.44 states/eV/atom
* SG: P4_2/mnm

=====

Record 2
VASP calculation (PBE) on an optimized crystal structure of TlTcAs2.

Structure (POSCAR):
```
TlTcAs2
1.0
-0.8359 2.1321 1.9966
-2.3343 -1.5547 -1.1682
0.7036 -6.4658 7.1990
Tl Tc As
1 1 2
Cartesian
-1.0717 -4.4292 5.6670 Tl
0.3345 -3.0739 3.4225 Tc
0.0001 -0.0005 0.0005 As
-1.3776 -1.6178 2.5369 As
```

## Properties
* total magnetic moment: 0.000 μB per cell
* final energy: -5.026 eV/atom
* calculated volume: 20.5 A^3/atom
* ΔE to the lowest computed polymorph: 605 meV per atom
* D(E_F): 0.75 states/eV/atom
* SG: Cmm2